1.
68
Lattice="8.484 0.000 0.000 0.000 7.584 0.000 -7.840 0.000 9.350" Properties=species:S:1:pos:R:3 comment="DyMgB5O10 (PBEsol, relaxed)" formation_energy_uncorrected_ev_per_atom=-2.749 space_group="No. 14" magnetic_moment_mub_per_fu=0.00 vol_a3_per_atom=8.847 pbc="T T T"
Dy -1.406 1.414 2.244
Dy -5.325 2.378 6.919
Dy 5.970 5.206 2.431
Dy 2.050 6.170 7.106
Mg -2.854 4.494 8.140
Mg 1.066 6.882 3.465
Mg -0.422 0.702 5.885
Mg 3.498 3.090 1.210
B -4.013 5.110 5.641
B -0.094 6.266 0.966
B -6.466 4.566 9.279
B -2.546 6.810 4.604
B 1.937 0.242 0.517
B -1.983 3.550 5.192
B 0.874 4.357 2.383
B -3.046 7.019 7.058
B -3.113 1.435 8.511
B 0.807 2.357 3.836
B -0.163 5.227 5.514
B 3.757 6.149 0.839
B 3.690 0.565 2.292
B -0.230 3.227 6.967
B 2.627 4.034 4.158
B -1.293 7.342 8.834
B 3.190 0.774 4.747
B 7.110 3.018 0.072
B 0.738 1.318 8.384
B 4.658 2.474 3.709
O -7.455 5.540 9.141
O -3.535 5.836 4.466
O -6.377 0.823 8.586
O -2.458 2.969 3.911
O -5.829 4.200 8.145
O -1.909 7.176 3.470
O -0.174 5.360 2.133
O -4.094 6.016 6.808
O -3.113 4.003 6.063
O 0.807 7.373 1.388
O -3.648 0.697 7.481
O 0.271 3.095 2.806
O 1.671 4.044 1.162
O -2.249 7.332 5.837
O -1.199 4.753 4.760
O 2.721 6.623 0.085
O 0.208 1.133 3.985
O -3.711 2.659 8.660
O 2.800 1.137 1.277
O -1.120 2.655 5.952
O 1.764 4.929 3.398
O -2.156 6.447 8.073
O 4.356 4.925 0.691
O 0.436 6.451 5.366
O -2.077 0.961 9.265
O 1.843 2.831 4.590
O 2.893 0.252 3.514
O -1.027 3.540 8.189
O 0.373 4.489 6.545
O 4.292 6.887 1.870
O -0.163 0.211 7.963
O 3.757 3.581 3.288
O 4.738 1.568 2.542
O 0.818 2.224 7.217
O 2.553 0.408 5.880
O 6.473 3.384 1.205
O 3.102 4.615 5.439
O 7.022 6.761 0.764
O 4.179 1.748 4.884
O 8.099 2.044 0.209

2.
10
Lattice="7.030 0.000 0.000 0.000 7.030 0.000 0.000 0.000 3.745" Properties=species:S:1:pos:R:3 comment="K2O2F (PBEsol, relaxed)" formation_energy_uncorrected_ev_per_atom=-1.501 space_group="No. 127" magnetic_moment_mub_per_fu=1.00 vol_a3_per_atom=18.508 pbc="T T T"
K 1.463 2.052 0.000
K 2.052 5.567 0.000
K 4.978 1.463 0.000
K 5.567 4.978 0.000
O 0.477 3.992 1.873
O 3.038 0.477 1.873
O 3.992 6.553 1.873
O 6.553 3.038 1.873
F 0.000 0.000 0.000
F 3.515 3.515 0.000